# RuWOF2 | Alexandria via LeMat-Bulk | PBE+U | relaxed
# - VASP energy (eV/atom) = -5.3262
# - E above lowest polymorph (eV/atom) = 0.020
# - size of the total moment (μB per formula unit) = 3.61
data_RuWOF2
_space_group_name_H-M_alt 'P 1'
_space_group_IT_number 1
_space_group_name_Hall 'P 1'
_cell_length_a 4.512
_cell_length_b 4.512
_cell_length_c 3.738
_cell_angle_alpha 90.00
_cell_angle_beta 90.00
_cell_angle_gamma 90.00
loop_
_atom_site_label
_atom_site_type_symbol
_atom_site_fract_x
_atom_site_fract_y
_atom_site_fract_z
Ru1 Ru 0.000 0.000 0.000
O1 O 0.000 0.000 0.500
W1 W 0.500 0.500 0.500
F1 F 0.000 0.500 0.000
F2 F 0.500 0.000 0.000